Entry from Alexandria via LeMat-Bulk: Sc4SN2 after structural relaxation (PBE).

Summary:
ΔE_f (raw) = -1549 meV/atom

Cell lengths 12.956, 3.317, 5.648 Å; angles 90.00, 115.77, 90.00 degrees
Space group C2/m (No. 12)
One atom of each set of equivalent atoms:
Sc1 0.146 0.000 0.310 [4 per cell]
Sc2 0.146 0.500 0.814 [4 per cell]
S1 0.000 0.000 0.500 [2 per cell]
N1 0.241 0.500 0.245 [4 per cell]

Entry from Alexandria via LeMat-Bulk: Ho3VC3 after structural relaxation (PBE).

Summary:
energy of formation = -0.3319 eV per atom

Cell lengths 8.773, 10.424, 5.066 Å; angles 90.00, 90.00, 90.00 degrees
Space group Cmcm (No. 63)
One atom of each set of equivalent atoms:
Ho1 0.000 0.110 0.250 [4 per cell]
Ho2 0.218 0.382 0.250 [8 per cell]
V1 0.000 0.309 0.750 [4 per cell]
C1 0.000 0.126 0.750 [4 per cell]
C2 0.204 0.378 0.750 [8 per cell]

Total DFT energy (no corrections)? In order: -8.14 -7.55 eV per atom.